Record 1
Density functional theory data (PBE) for a relaxed LaTaC3 crystal.

Summary:
ΔE_f in eV/atom: 0.5586
M_tot in μB/cell: 0.0
Symmetry: Pm-3m
Polymorph energy (0 for the lowest one) in meV per atom: 0

a b c (Å): 4.2226 4.2226 4.2226
angles (deg): 90.00 90.00 90.00
Closest atoms and distances in Å follow each position.
Fractional coordinates of all 5 atoms:
C (0.0000, 0.5000, 0.0000)  2 Ta 2.11
C (0.0000, 0.0000, 0.5000)  2 Ta 2.11
C (0.5000, 0.0000, 0.0000)  2 Ta 2.11
La (0.5000, 0.5000, 0.5000)  12 C 2.99
Ta (0.0000, 0.0000, 0.0000)  6 C 2.11

Record 2
Density functional theory data (PBE) for a relaxed LaTaC3 crystal.

Summary:
ΔE_f in eV/atom: 2.7956
M_tot in μB/cell: 0.3
Symmetry: Pm-3m
Polymorph energy (0 for the lowest one) in meV per atom: 2237

a b c (Å): 4.2160 4.2160 4.2160
angles (deg): 90.00 90.00 90.00
Closest atoms and distances in Å follow each position.
Fractional coordinates of all 5 atoms:
C (0.0000, 0.5000, 0.0000)  2 La 2.11
C (0.0000, 0.0000, 0.5000)  2 La 2.11
C (0.5000, 0.0000, 0.0000)  2 La 2.11
La (0.0000, 0.0000, 0.0000)  6 C 2.11
Ta (0.5000, 0.5000, 0.5000)  12 C 2.98

Record 3
Density functional theory data (PBE) for a relaxed La2TaTcC crystal.

Summary:
ΔE_f in eV/atom: 1.4715
M_tot in μB/cell: 0.0
Symmetry: P4/mmm

a b c (Å): 5.3935 4.7499 5.3935
angles (deg): 90.00 90.00 90.00
Closest atoms and distances in Å follow each position.
Fractional coordinates of all 5 atoms:
C (0.5000, 0.5000, 0.5000)  8 La 3.59, 4 Ta 3.81
La (0.0000, 0.0000, 0.5000)  2 Tc 2.70
La (0.5000, 0.0000, 0.0000)  2 Tc 2.70
Tc (0.0000, 0.0000, 0.0000)  2 Ta 2.37
Ta (0.0000, 0.5000, 0.0000)  2 Tc 2.37

Record 4
Density functional theory data (PBE) for a relaxed LaTaTcC3 crystal.

Summary:
ΔE_f in eV/atom: 0.0216
M_tot in μB/cell: 0.0
Symmetry: P2_1/m

a b c (Å): 3.3236 7.2691 8.0706
angles (deg): 101.24 90.00 90.00
Closest atoms and distances in Å follow each position.
Fractional coordinates of all 12 atoms:
La (0.7500, 0.8217, 0.8063)  7 C 2.63-2.91
La (0.2500, 0.1783, 0.1937)  7 C 2.63-2.91
Ta (0.2500, 0.6395, 0.1242)  5 C 2.05-2.27
Ta (0.7500, 0.3605, 0.8758)  5 C 2.05-2.27
Tc (0.2500, 0.1151, 0.6041)  4 C 1.98-2.07
Tc (0.7500, 0.8849, 0.3959)  4 C 1.98-2.07
C (0.2500, 0.8283, 0.5120)  3 Tc 1.99-2.07
C (0.7500, 0.8547, 0.1463)  1 Tc 1.98
C (0.7500, 0.4377, 0.1338)  3 Ta 2.05-2.23
C (0.7500, 0.1717, 0.4880)  3 Tc 1.99-2.07
C (0.2500, 0.5623, 0.8662)  3 Ta 2.05-2.23
C (0.2500, 0.1453, 0.8537)  1 Tc 1.98

Number 1: DOS at the Fermi energy 4.0 states/eV/f.u.. Number 2: DOS at the Fermi energy 2.9 states/eV/f.u.. Number 3: DOS at the Fermi energy 5.2 states/eV/f.u.. Number 4: DOS at the Fermi energy 3.0 states/eV/f.u..